Record 1
The following is a PBE-GGA calculation of a relaxed Fe2AgW crystal, from the Alexandria database.

Space group   C2/m
Uncorrected energy   -7.695 eV/atom
Relative energy among the computed polymorphs   188 meV per atom
M_tot   1.131 μB per atom
ΔH_f (0 K)   488 meV per atom
D(E_F)   3.885 states/eV/cell

Unit cell a=4.5973 b=4.5973 c=4.9982 alpha=83.48 beta=83.48 gamma=33.40
Element x y z (fractional)
1 Fe 0.9993 0.9993 0.9857
2 Fe 0.5007 0.5007 0.5143
3 Ag 0.2500 0.2500 0.2500
4 W 0.7500 0.7500 0.7500

Record 2
The following is a PBE-GGA calculation of a relaxed Sc3TaO7 crystal, from the Alexandria database.

Space group   C222_1
Uncorrected energy   -9.217 eV/atom
Relative energy among the computed polymorphs   0 meV per atom
Raw formation energy   -3.258 eV/atom
M_tot   0.000 μB per atom
D(E_F)   0.000 states/eV/cell

Unit cell a=6.2345 b=6.2345 c=7.1429 alpha=90.00 beta=90.00 gamma=108.23
Element x y z (fractional)
1 O 0.0898 0.3401 0.5267
2 O 0.9168 0.0832 0.2500
3 O 0.6599 0.9102 0.9733
4 O 0.3401 0.0898 0.4733
5 O 0.9102 0.6599 0.0267
6 O 0.6461 0.3539 0.2500
7 O 0.3119 0.0451 0.0592
8 O 0.0451 0.3119 0.9408
9 O 0.9549 0.6881 0.4408
10 O 0.6881 0.9549 0.5592
11 O 0.6245 0.3755 0.7500
12 O 0.3755 0.6245 0.2500
13 O 0.0832 0.9168 0.7500
14 O 0.3539 0.6461 0.7500
15 Sc 0.4504 0.4504 0.5000
16 Sc 0.5346 0.0057 0.2605
17 Sc 0.4654 0.9943 0.7605
18 Sc 0.0057 0.5346 0.7395
19 Sc 0.9943 0.4654 0.2395
20 Sc 0.5496 0.5496 0.0000
21 Ta 0.9965 0.9965 0.5000
22 Ta 0.0035 0.0035 0.0000

Record 3
The following is a PBE-GGA calculation of a relaxed Mg3Ta crystal, from the Alexandria database.

Space group   R-3m
Uncorrected energy   -3.926 eV/atom
M_tot   0.000 μB per atom
ΔH_f (0 K)   233 meV per atom
D(E_F)   1.516 states/eV/cell

Unit cell a=5.8117 b=5.8117 c=5.8117 alpha=117.47 beta=117.47 gamma=117.47
Element x y z (fractional)
1 Mg 0.5000 0.5000 0.0000
2 Mg 0.0000 0.0000 0.0000
3 Mg 0.5000 0.0000 0.5000
4 Ta 0.0000 0.5000 0.5000

Record 4
The following is a PBE-GGA calculation of a relaxed Nd2Al3SnPt4 crystal, from the Alexandria database.

Space group   P-4m2
Uncorrected energy   -5.949 eV/atom
M_tot   0.000 μB per atom
ΔH_f (0 K)   -1057 meV per atom
D(E_F)   5.167 states/eV/cell

Unit cell a=4.3692 b=4.3692 c=10.4947 alpha=90.00 beta=90.00 gamma=90.00
Element x y z (fractional)
1 Pt 0.5000 0.0000 0.6442
2 Pt 0.0000 0.5000 0.3558
3 Pt 0.5000 0.5000 0.0000
4 Pt 0.0000 0.0000 0.0000
5 Al 0.0000 0.5000 0.1214
6 Al 0.0000 0.0000 0.5000
7 Al 0.5000 0.0000 0.8786
8 Nd 0.5000 0.0000 0.2447
9 Nd 0.0000 0.5000 0.7553
10 Sn 0.5000 0.5000 0.5000

Record 5
The following is a PBE-GGA calculation of a relaxed NpUPS crystal, from the Alexandria database.

Space group   R3m
Uncorrected energy   -9.598 eV/atom
Raw formation energy   -1.157 eV/atom
M_tot   1.512 μB per atom
D(E_F)   10.755 states/eV/cell

Unit cell a=3.9246 b=3.9246 c=6.7558 alpha=73.11 beta=73.11 gamma=60.00
Element x y z (fractional)
1 S 0.9435 0.9435 0.1696
2 U 0.6940 0.6940 0.9180
3 P 0.4444 0.4444 0.6669
4 Np 0.1946 0.1946 0.4162

Record 6
The following is a PBE-GGA calculation of a relaxed ErTmAg5 crystal, from the Alexandria database.

Space group   P4/mmm
Uncorrected energy   -3.389 eV/atom
M_tot   0.000 μB per atom
ΔH_f (0 K)   -62 meV per atom
D(E_F)   3.093 states/eV/cell

Unit cell a=4.9080 b=4.9080 c=6.6094 alpha=90.00 beta=90.00 gamma=90.00
Element x y z (fractional)
1 Er 0.0000 0.0000 0.5000
2 Ag 0.5000 0.0000 0.2378
3 Ag 0.0000 0.5000 0.2378
4 Ag 0.5000 0.5000 0.5000
5 Ag 0.0000 0.5000 0.7622
6 Ag 0.5000 0.0000 0.7622
7 Tm 0.5000 0.5000 0.0000

Record 7
The following is a PBE-GGA calculation of a relaxed Er3Ni20P6 crystal, from the Alexandria database.

Space group   Fm-3m
Uncorrected energy   -6.176 eV/atom
M_tot   0.000 μB per atom
ΔH_f (0 K)   -597 meV per atom
D(E_F)   14.410 states/eV/cell

Unit cell a=7.9802 b=7.9802 c=7.9802 alpha=60.00 beta=60.00 gamma=60.00
Element x y z (fractional)
1 Ni 0.3521 0.0000 0.0000
2 Ni 0.6479 0.0000 0.3521
3 Ni 0.0000 0.6479 0.3521
4 Ni 0.3871 0.3871 0.8388
5 Ni 0.3521 0.0000 0.6479
6 Ni 0.6129 0.1612 0.6129
7 Ni 0.0000 0.3521 0.0000
8 Ni 0.1612 0.6129 0.6129
9 Ni 0.0000 0.0000 0.3521
10 Ni 0.6479 0.0000 0.0000
11 Ni 0.3871 0.8388 0.3871
12 Ni 0.3871 0.3871 0.3871
13 Ni 0.3521 0.6479 0.0000
14 Ni 0.6479 0.3521 0.0000
15 Ni 0.0000 0.3521 0.6479
16 Ni 0.6129 0.6129 0.6129
17 Ni 0.8388 0.3871 0.3871
18 Ni 0.0000 0.6479 0.0000
19 Ni 0.0000 0.0000 0.6479
20 Ni 0.6129 0.6129 0.1612
21 P 0.2621 0.7379 0.7379
22 P 0.2621 0.7379 0.2621
23 P 0.7379 0.2621 0.7379
24 P 0.7379 0.7379 0.2621
25 P 0.2621 0.2621 0.7379
26 P 0.7379 0.2621 0.2621
27 Er 0.0000 0.0000 0.0000
28 Er 0.7500 0.7500 0.7500
29 Er 0.2500 0.2500 0.2500

Record 8
The following is a PBE-GGA calculation of a relaxed LaSn2BiRu crystal, from the Alexandria database.

Space group   P4/mmm
Uncorrected energy   -5.626 eV/atom
Relative energy among the computed polymorphs   0 meV per atom
M_tot   0.000 μB per atom
ΔH_f (0 K)   -408 meV per atom
D(E_F)   1.533 states/eV/cell

Unit cell a=5.1576 b=5.1576 c=5.3962 alpha=90.00 beta=90.00 gamma=90.00
Element x y z (fractional)
1 Ru 0.0000 0.0000 0.0000
2 Sn 0.5000 0.0000 0.0000
3 Sn 0.0000 0.5000 0.0000
4 La 0.0000 0.0000 0.5000
5 Bi 0.5000 0.5000 0.5000

Record 9
The following is a PBE-GGA calculation of a relaxed Li4Mg2Ag crystal, from the Alexandria database.

Space group   C2/m
Uncorrected energy   -1.987 eV/atom
Relative energy among the computed polymorphs   16 meV per atom
M_tot   0.000 μB per atom
ΔH_f (0 K)   -30 meV per atom
D(E_F)   2.792 states/eV/cell

Unit cell a=3.0111 b=7.5491 c=7.3999 alpha=58.64 beta=78.26 gamma=78.50
Element x y z (fractional)
1 Li 0.6274 0.6138 0.1314
2 Li 0.9257 0.7126 0.4360
3 Li 0.0743 0.2874 0.5640
4 Li 0.3726 0.3862 0.8686
5 Mg 0.7782 0.1577 0.2858
6 Mg 0.2218 0.8423 0.7142
7 Ag 0.0000 0.0000 0.0000

Record 10
The following is a PBE-GGA calculation of a relaxed V2Si2Ni crystal, from the Alexandria database.

Space group   P4/mbm
Uncorrected energy   -7.425 eV/atom
Raw formation energy   -0.452 eV/atom
M_tot   0.000 μB per atom
D(E_F)   7.839 states/eV/cell

Unit cell a=6.0053 b=6.0053 c=3.5241 alpha=90.00 beta=90.00 gamma=90.00
Element x y z (fractional)
1 V 0.1680 0.6680 0.5000
2 V 0.8320 0.3320 0.5000
3 V 0.3320 0.1680 0.5000
4 V 0.6680 0.8320 0.5000
5 Si 0.6364 0.1364 0.0000
6 Si 0.3636 0.8636 0.0000
7 Si 0.8636 0.6364 0.0000
8 Si 0.1364 0.3636 0.0000
9 Ni 0.5000 0.5000 0.0000
10 Ni 0.0000 0.0000 0.0000

Record 11
The following is a PBE-GGA calculation of a relaxed Ce2Y7Er2 crystal, from the Alexandria database.

Space group   P-1
Uncorrected energy   -5.841 eV/atom
Relative energy among the computed polymorphs   0 meV per atom
M_tot   0.092 μB per atom
ΔH_f (0 K)   181 meV per atom
D(E_F)   21.246 states/eV/cell

Unit cell a=10.3735 b=8.7639 c=9.5512 alpha=136.59 beta=136.63 gamma=39.40
Element x y z (fractional)
1 Ce 0.7045 0.2919 0.5457
2 Ce 0.2955 0.7081 0.4543
3 Y 0.5091 0.5440 0.8663
4 Y 0.0486 0.5566 0.4032
5 Y 0.5337 0.9781 0.3556
6 Y 0.4663 0.0219 0.6444
7 Y 0.9514 0.4434 0.5968
8 Y 0.4909 0.4560 0.1337
9 Y 0.0000 0.0000 0.0000
10 Er 0.7750 0.8094 0.0391
11 Er 0.2250 0.1906 0.9609

Record 12
The following is a PBE-GGA calculation of a relaxed GeOsNF2 crystal, from the Alexandria database.

Space group   P4/mmm
Uncorrected energy   -5.700 eV/atom
Relative energy among the computed polymorphs   0 meV per atom
Raw formation energy   -0.117 eV/atom
M_tot   0.000 μB per atom
D(E_F)   3.333 states/eV/cell

Unit cell a=4.3348 b=4.3348 c=3.7617 alpha=90.00 beta=90.00 gamma=90.00
Element x y z (fractional)
1 F 0.0000 0.5000 0.0000
2 F 0.5000 0.0000 0.0000
3 Ge 0.5000 0.5000 0.5000
4 N 0.0000 0.0000 0.5000
5 Os 0.0000 0.0000 0.0000

Record 13
The following is a PBE-GGA calculation of a relaxed LiCeCd6 crystal, from the Alexandria database.

Space group   P4/mmm
Uncorrected energy   -1.818 eV/atom
Relative energy among the computed polymorphs   25 meV per atom
M_tot   0.140 μB per atom
ΔH_f (0 K)   -151 meV per atom
D(E_F)   9.675 states/eV/cell

Unit cell a=4.6668 b=4.6668 c=8.5506 alpha=90.00 beta=90.00 gamma=90.00
Element x y z (fractional)
1 Cd 0.5000 0.0000 0.7290
2 Cd 0.5000 0.0000 0.2710
3 Cd 0.5000 0.5000 0.0000
4 Cd 0.0000 0.5000 0.2710
5 Cd 0.5000 0.5000 0.5000
6 Cd 0.0000 0.5000 0.7290
7 Li 0.0000 0.0000 0.5000
8 Ce 0.0000 0.0000 0.0000

Record 14
The following is a PBE-GGA calculation of a relaxed Al2FePd2 crystal, from the Alexandria database.

Space group   Cmmm
Uncorrected energy   -5.803 eV/atom
Relative energy among the computed polymorphs   0 meV per atom
M_tot   0.104 μB per atom
ΔH_f (0 K)   -536 meV per atom
D(E_F)   3.177 states/eV/cell

Unit cell a=2.8965 b=2.8818 c=8.4849 alpha=80.22 beta=90.00 gamma=90.00
Element x y z (fractional)
1 Fe 0.0000 0.0000 0.0000
2 Al 0.5000 0.5845 0.8311
3 Al 0.5000 0.4155 0.1689
4 Pd 0.0000 0.1784 0.6431
5 Pd 0.0000 0.8216 0.3569

Record 15
The following is a PBE-GGA calculation of a relaxed ScTlNi2 crystal, from the Alexandria database.

Space group   F-43m
Uncorrected energy   -5.093 eV/atom
M_tot   0.000 μB per atom
ΔH_f (0 K)   -27 meV per atom
D(E_F)   2.548 states/eV/cell

Unit cell a=4.5187 b=4.5187 c=4.5187 alpha=60.00 beta=60.00 gamma=60.00
Element x y z (fractional)
1 Ni 0.2500 0.2500 0.2500
2 Ni 0.0000 0.0000 0.0000
3 Sc 0.5000 0.5000 0.5000
4 Tl 0.7500 0.7500 0.7500

Record 16
The following is a PBE-GGA calculation of a relaxed Sc2GeBr crystal, from the Alexandria database.

Space group   I-42d
Uncorrected energy   -5.185 eV/atom
Relative energy among the computed polymorphs   389 meV per atom
Raw formation energy   -0.447 eV/atom
M_tot   0.000 μB per atom
D(E_F)   6.538 states/eV/cell

Unit cell a=6.0331 b=6.0331 c=7.6942 alpha=66.92 beta=66.92 gamma=90.00
Element x y z (fractional)
1 Sc 0.8750 0.8486 0.7500
2 Sc 0.5986 0.1250 0.2500
3 Sc 0.1514 0.6250 0.2500
4 Sc 0.3750 0.4014 0.7500
5 Br 0.7500 0.2500 0.5000
6 Br 0.0000 0.0000 0.0000
7 Ge 0.2500 0.7500 0.5000
8 Ge 0.5000 0.5000 0.0000

Record 17
The following is a PBE-GGA calculation of a relaxed CrSb2Os crystal, from the Alexandria database.

Space group   P4/mmm
Uncorrected energy   -6.766 eV/atom
Relative energy among the computed polymorphs   247 meV per atom
Raw formation energy   0.508 eV/atom
M_tot   0.737 μB per atom
D(E_F)   2.580 states/eV/cell

Unit cell a=3.1933 b=3.1933 c=7.1330 alpha=90.00 beta=90.00 gamma=90.02
Element x y z (fractional)
1 Os 0.5000 0.5000 0.7500
2 Sb 0.0000 0.0000 0.5065
3 Sb 0.0000 0.0000 0.9935
4 Cr 0.5000 0.5000 0.2500

Record 18
The following is a PBE-GGA calculation of a relaxed GdZrIrPd crystal, from the Alexandria database.

Space group   F-43m
Uncorrected energy   -9.876 eV/atom
M_tot   1.807 μB per atom
ΔH_f (0 K)   -705 meV per atom
D(E_F)   4.447 states/eV/cell

Unit cell a=4.8222 b=4.8222 c=4.8222 alpha=60.00 beta=60.00 gamma=60.00
Element x y z (fractional)
1 Zr 0.7500 0.7500 0.7500
2 Gd 0.2500 0.2500 0.2500
3 Ir 0.0000 0.0000 0.0000
4 Pd 0.5000 0.5000 0.5000

Record 19
The following is a PBE-GGA calculation of a relaxed YPIO2 crystal, from the Alexandria database.

Space group   P4/mmm
Uncorrected energy   -5.109 eV/atom
Relative energy among the computed polymorphs   372 meV per atom
Raw formation energy   -0.441 eV/atom
M_tot   0.000 μB per atom
D(E_F)   0.832 states/eV/cell

Unit cell a=4.1310 b=4.1310 c=5.5711 alpha=90.00 beta=90.00 gamma=90.00
Element x y z (fractional)
1 P 0.0000 0.0000 0.5000
2 O 0.0000 0.5000 0.0000
3 O 0.5000 0.0000 0.0000
4 I 0.0000 0.0000 0.0000
5 Y 0.5000 0.5000 0.5000